72
Lattice="11.2470 0.0000 0.0000 0.0000 9.7132 0.0000 -6.1207 0.0000 10.0116" Properties=species:S:1:pos:R:3 comment="K3LiSiO4 | the Alexandria database | meta-GGA SCAN | PBEsol geometry" sg="No. 14" raw_formation_energy_ev_per_atom=-2.356 total_energy_ev_per_atom=-9.28 pbc="T T T"
K 1.4022 0.7949 0.3536
K -1.6581 4.0617 5.3594
K -1.6414 0.8550 5.7095
K 1.4189 4.0016 0.7037
K -1.9511 7.2087 6.5916
K 1.1092 7.3610 1.5858
K 0.6308 7.0862 4.7384
K -2.4296 7.4835 9.7442
K -1.5499 0.8660 8.9033
K 1.5105 3.9906 3.8975
K 1.4459 0.7822 4.1195
K -1.6144 4.0743 9.1253
K 6.7407 5.6388 0.8863
K 3.6803 8.9309 5.8921
K 3.6157 5.7226 6.1141
K 6.6761 8.8471 1.1083
K 7.5558 2.2296 0.2674
K 4.4955 2.6270 5.2732
K 4.0170 2.3521 8.4258
K 7.0774 2.5045 3.4200
K 3.7073 5.7116 9.3079
K 6.7677 8.8581 4.3021
K 6.7844 5.6515 4.6522
K 3.7240 8.9182 9.6581
Li -4.3273 1.3246 7.2952
Li -1.2669 3.5320 2.2894
Li 1.0519 1.1682 7.2045
Li 4.1122 3.6884 2.1987
Li 1.0140 6.0248 7.8129
Li 4.0744 8.5449 2.8071
Li 6.3932 6.1812 7.7222
Li 9.4535 8.3885 2.7164
Si -1.2133 1.0726 2.4019
Si -4.2736 3.7840 7.4077
Si 4.0999 1.2306 2.1501
Si 1.0395 3.6259 7.1559
Si 4.0867 6.0872 2.8557
Si 1.0264 8.4825 7.8615
Si 9.3999 5.9292 2.6039
Si 6.3395 8.6406 7.6097
O -1.9074 6.8257 3.9966
O -4.9678 7.7440 9.0024
O -0.3432 5.2667 2.3223
O -3.4036 9.3031 7.3281
O -3.2598 5.0882 7.3520
O -0.1995 9.4815 2.3462
O -0.8245 2.1443 3.6047
O -3.8849 2.7123 8.6105
O 2.8004 2.2365 2.3696
O -0.2600 2.6201 7.3754
O 3.6120 5.4207 1.4019
O 0.5517 9.1490 6.4077
O 0.6933 4.9405 6.2154
O 3.7536 9.6292 1.2096
O 2.9320 7.0620 3.5366
O -0.1283 7.5077 8.5424
O 5.2546 2.2055 1.4692
O 2.1942 2.6511 6.4750
O 1.3726 0.0839 8.8020
O 4.4330 4.7727 3.7962
O 4.5746 0.5642 3.6039
O 1.5142 4.2924 8.6097
O 5.3862 7.0930 2.6362
O 2.3259 7.4767 7.6420
O 9.0112 7.0009 1.4011
O 5.9508 7.5688 6.4069
O 5.3257 0.2316 7.6654
O 8.3861 4.6249 2.6596
O 8.5298 0.4101 2.6835
O 5.4694 4.4465 7.6893
O 10.0940 1.9691 1.0092
O 7.0337 2.8874 6.0150


9
Lattice="5.7628 -1.6545 0.0000 5.7628 1.6545 0.0000 -5.6813 0.0000 5.7824" Properties=species:S:1:pos:R:3 comment="KLiZn3O4 | the Alexandria database | meta-GGA SCAN | PBEsol geometry" sg="No. 8" raw_formation_energy_ev_per_atom=-1.691 total_energy_ev_per_atom=-10.16 pbc="T T T"
K 0.0000 0.0000 0.0000
Li -2.4681 0.0000 4.6928
Zn 1.2250 0.0000 3.2316
Zn 4.6940 0.0000 2.6919
Zn 8.3925 0.0000 0.9263
O -0.8081 0.0000 3.6922
O 3.7102 0.0000 1.0431
O 2.3135 0.0000 4.7764
O 6.8360 0.0000 2.1165


10
Lattice="5.3850 -1.6650 0.0000 5.3850 1.6650 0.0000 -4.1101 0.0000 7.0658" Properties=species:S:1:pos:R:3 comment="KLiZnO2 | the Alexandria database | meta-GGA SCAN | PBEsol geometry" sg="No. 12" raw_formation_energy_ev_per_atom=-1.729 total_energy_ev_per_atom=-9.07 pbc="T T T"
K 1.2271 0.0000 0.9205
K 5.4328 0.0000 6.1453
Li 1.3990 0.0000 3.9297
Li 5.2609 0.0000 3.1361
Zn -2.3288 0.0000 4.8276
Zn 8.9887 0.0000 2.2383
O -0.5612 0.0000 3.9789
O 4.1827 0.0000 1.3603
O 2.4771 0.0000 5.7055
O 7.2211 0.0000 3.0869


Copy entry 3 word for word.
10
Lattice="5.3850 -1.6650 0.0000 5.3850 1.6650 0.0000 -4.1101 0.0000 7.0658" Properties=species:S:1:pos:R:3 comment="KLiZnO2 | the Alexandria database | meta-GGA SCAN | PBEsol geometry" sg="No. 12" raw_formation_energy_ev_per_atom=-1.729 total_energy_ev_per_atom=-9.07 pbc="T T T"
K 1.2271 0.0000 0.9205
K 5.4328 0.0000 6.1453
Li 1.3990 0.0000 3.9297
Li 5.2609 0.0000 3.1361
Zn -2.3288 0.0000 4.8276
Zn 8.9887 0.0000 2.2383
O -0.5612 0.0000 3.9789
O 4.1827 0.0000 1.3603
O 2.4771 0.0000 5.7055
O 7.2211 0.0000 3.0869